La2InRh4 (PBE-GGA, relaxed); volume = 24.23 A^3/atom; space-group type = No. 139; ΔH_f (0 K) = -0.0697 eV per atom; calculated total energy = -6.070 eV/atom; M_tot = 0.000 μB per atom
1.0
-2.477 2.477 6.909
2.477 -2.477 6.909
2.477 2.477 -6.909
La In Rh
2 1 4
direct
0.142 0.142 0.000
0.858 0.858 0.000
0.500 0.500 0.000
0.000 0.500 0.500
0.312 0.312 0.000
0.500 0.000 0.500
0.688 0.688 0.000

---

Sm2CuTe (PBE-GGA, relaxed); volume = 28.60 A^3/atom; formation energy (no corrections) = -0.6870 eV per atom; E above lowest polymorph = 0.068 eV/atom; space-group type = No. 160; calculated total energy = -4.856 eV/atom; M_tot = 0.000 μB per atom
1.0
2.121 1.225 7.340
-2.121 1.225 7.340
0.000 -2.449 7.340
Sm Cu Te
2 1 1
direct
0.000 0.000 0.000
0.189 0.189 0.189
0.595 0.595 0.595
0.762 0.762 0.762

---

Repeat the first record exactly.
La2InRh4 (PBE-GGA, relaxed); volume = 24.23 A^3/atom; space-group type = No. 139; ΔH_f (0 K) = -0.0697 eV per atom; calculated total energy = -6.070 eV/atom; M_tot = 0.000 μB per atom
1.0
-2.477 2.477 6.909
2.477 -2.477 6.909
2.477 2.477 -6.909
La In Rh
2 1 4
direct
0.142 0.142 0.000
0.858 0.858 0.000
0.500 0.500 0.000
0.000 0.500 0.500
0.312 0.312 0.000
0.500 0.000 0.500
0.688 0.688 0.000